No. 1
This record from the Alexandria database describes a relaxed MnFe2Re crystal. The functional is PBE.

- formation enthalpy at 0 K (eV/atom) = 0.101
- D(E_F) (states/eV per cell) = 3.17
- volume (Å³/atom) = 12.2
- space-group type = No. 99
- offset from the most stable computed form (meV/atom) = 68

a = 2.5933 Å, b = 2.5933 Å, c = 7.2473 Å
α = 90.00°, β = 90.00°, γ = 90.00°
With the nearest neighbours (Å) after each atom.
Fractional positions:
1 Mn 0.0000 0.0000 0.0000  4 Fe 2.50, 4 Mn 2.59, 4 Re 2.72
2 Fe 0.0000 0.0000 0.5290  8 Fe 2.51-2.59, 4 Re 2.58
3 Fe 0.5000 0.5000 0.7652  4 Mn 2.50, 8 Fe 2.51-2.59
4 Re 0.5000 0.5000 0.2776  4 Fe 2.58, 4 Re 2.59, 4 Mn 2.72


No. 2
This record from the Alexandria database describes a relaxed MnFe2Re crystal. The functional is PBE.

- formation enthalpy at 0 K (eV/atom) = 0.059
- D(E_F) (states/eV per cell) = 17.98
- volume (Å³/atom) = 11.7
- space-group type = No. 62
- offset from the most stable computed form (meV/atom) = 27

a = 4.4597 Å, b = 4.0636 Å, c = 10.2904 Å
α = 90.00°, β = 90.00°, γ = 90.00°
With the nearest neighbours (Å) after each atom.
Fractional positions:
1 Mn 0.0925 0.2500 0.0642  7 Fe 2.45-2.63, 3 Re 2.50-2.53, 2 Mn 2.56
2 Mn 0.4075 0.7500 0.5642  7 Fe 2.45-2.63, 3 Re 2.50-2.53, 2 Mn 2.56
3 Mn 0.5925 0.2500 0.4358  7 Fe 2.45-2.63, 3 Re 2.50-2.53, 2 Mn 2.56
4 Mn 0.9075 0.7500 0.9358  7 Fe 2.45-2.63, 3 Re 2.50-2.53, 2 Mn 2.56
5 Fe 0.0701 0.2500 0.3175  5 Fe 2.44-2.63, 3 Mn 2.45-2.63, 4 Re 2.53-2.57
6 Fe 0.0845 0.2500 0.5545  5 Fe 2.44-2.52, 4 Mn 2.49-2.57, 3 Re 2.56-2.71
7 Fe 0.4155 0.7500 0.0545  5 Fe 2.44-2.52, 4 Mn 2.49-2.57, 3 Re 2.56-2.71
8 Fe 0.4299 0.7500 0.8175  5 Fe 2.44-2.63, 3 Mn 2.45-2.63, 4 Re 2.53-2.57
9 Fe 0.5701 0.2500 0.1825  5 Fe 2.44-2.63, 3 Mn 2.45-2.63, 4 Re 2.53-2.57
10 Fe 0.5845 0.2500 0.9455  5 Fe 2.44-2.52, 4 Mn 2.49-2.57, 3 Re 2.56-2.71
11 Fe 0.9155 0.7500 0.4455  5 Fe 2.44-2.52, 4 Mn 2.49-2.57, 3 Re 2.56-2.71
12 Fe 0.9299 0.7500 0.6825  5 Fe 2.44-2.63, 3 Mn 2.45-2.63, 4 Re 2.53-2.57
13 Re 0.0906 0.2500 0.8183  3 Mn 2.50-2.53, 7 Fe 2.53-2.71, 2 Re 2.64
14 Re 0.4094 0.7500 0.3183  3 Mn 2.50-2.53, 7 Fe 2.53-2.71, 2 Re 2.64
15 Re 0.5906 0.2500 0.6817  3 Mn 2.50-2.53, 7 Fe 2.53-2.71, 2 Re 2.64
16 Re 0.9094 0.7500 0.1817  3 Mn 2.50-2.53, 7 Fe 2.53-2.71, 2 Re 2.64